1.
# Ba2HRu3O10

A relaxed structure of Ba2HRu3O10 (GGA-PBEsol, Alexandria).

Calculated values
- volume (Å³ per atom) = 13.17
- E_tot (eV/atom) = -7.20
- ρ (kg/m3) = 5823

Lattice parameters (Å, degrees): 7.0627 9.8947 12.0591 90.00 90.00 90.00
Site moments in Bohr magnetons follow the coordinates.
Fractional coordinates of all 64 atoms:
O: 0.5380 0.5543 0.9932  0.04
O: 0.6866 0.9308 0.3494  0.11
O: 0.0303 0.4508 0.0054  0.12
O: 0.3134 0.4308 0.1506  0.11
O: 0.4697 0.5492 0.5054  0.12
O: 0.8134 0.0692 0.8494  0.11
O: 0.4620 0.0543 0.5068  0.04
O: 0.6266 0.4305 0.2998  0.03
O: 0.3747 0.4045 0.7880  -0.03
O: 0.3420 0.3104 0.6068  -0.06
O: 0.1647 0.1695 0.8846  0.03
O: 0.3096 0.9087 0.8483  0.02
O: 0.8734 0.5695 0.7998  0.03
O: 0.8747 0.0955 0.2120  -0.03
O: 0.3353 0.8305 0.3846  0.03
O: 0.1866 0.5692 0.6506  0.11
O: 0.5303 0.0492 0.9946  0.12
O: 0.5119 0.1723 0.2798  0.06
O: 0.0119 0.3277 0.7202  0.06
O: 0.8096 0.5913 0.1517  0.02
O: 0.6580 0.8104 0.8932  -0.06
O: 0.4881 0.6723 0.2202  0.06
O: 0.1253 0.5955 0.2880  -0.03
O: 0.1904 0.0913 0.3483  0.02
O: 0.3734 0.9305 0.2002  0.03
O: 0.0380 0.9457 0.0068  0.04
O: 0.8353 0.6695 0.6154  0.03
O: 0.5095 0.6483 0.7296  0.01
O: 0.1580 0.6896 0.1068  -0.06
O: 0.9881 0.8277 0.7798  0.06
O: 0.6647 0.3305 0.1154  0.03
O: 0.0095 0.8517 0.2704  0.01
O: 0.1266 0.0695 0.7002  0.03
O: 0.9697 0.9508 0.4946  0.12
O: 0.6904 0.4087 0.6517  0.02
O: 0.6253 0.9045 0.7120  -0.03
O: 0.8420 0.1896 0.3932  -0.06
O: 0.4905 0.1483 0.7704  0.01
O: 0.9620 0.4457 0.4932  0.04
O: 0.9905 0.3517 0.2296  0.01
H: 0.8770 0.3714 0.4702  0.00
H: 0.1230 0.8714 0.0298  0.00
H: 0.3770 0.1286 0.5298  0.00
H: 0.6230 0.6286 0.9702  0.00
Ru: 0.7492 0.7409 0.7549  -0.89
Ru: 0.4444 0.4931 0.6458  0.49
Ru: 0.2508 0.2409 0.7451  -0.89
Ru: 0.5641 0.5056 0.1551  1.15
Ru: 0.5556 0.9931 0.8542  0.49
Ru: 0.9444 0.0069 0.3542  0.49
Ru: 0.9359 0.4944 0.6551  1.15
Ru: 0.7508 0.2591 0.2549  -0.89
Ru: 0.0556 0.5069 0.1458  0.49
Ru: 0.4359 0.0056 0.3449  1.15
Ru: 0.0641 0.9944 0.8449  1.15
Ru: 0.2492 0.7591 0.2451  -0.89
Ba: 0.7225 0.8686 0.1162  0.01
Ba: 0.2775 0.3686 0.3838  0.01
Ba: 0.2270 0.1593 0.1092  0.01
Ba: 0.7730 0.6593 0.3908  0.01
Ba: 0.7775 0.1314 0.6162  0.01
Ba: 0.7270 0.3407 0.8908  0.01
Ba: 0.2730 0.8407 0.6092  0.01
Ba: 0.2225 0.6314 0.8838  0.01



2.
# Ba8Sb4H2O

A relaxed structure of Ba8Sb4H2O (GGA-PBEsol, Alexandria).

Calculated values
- volume (Å³ per atom) = 33.47
- E_tot (eV/atom) = -4.32
- ρ (kg/m3) = 5305

Lattice parameters (Å, degrees): 5.1747 5.1747 19.1002 97.79 97.79 90.00
Fractional coordinates of all 15 atoms:
Ba: 0.3406 0.3406 0.6812
Ba: 0.6594 0.6594 0.3188
Ba: 0.7500 0.2500 0.5000
Ba: 0.0845 0.0845 0.1689
Ba: 0.5000 0.0000 0.0000
Ba: 0.0000 0.5000 0.0000
Ba: 0.2500 0.7500 0.5000
Ba: 0.9155 0.9155 0.8311
O: 0.0000 0.0000 0.0000
Sb: 0.8200 0.8200 0.6400
Sb: 0.5668 0.5668 0.1337
Sb: 0.1800 0.1800 0.3600
Sb: 0.4332 0.4332 0.8663
H: 0.2707 0.2707 0.5414
H: 0.7293 0.7293 0.4586



3.
# BaV2H2Se4O14

A relaxed structure of BaV2H2Se4O14 (GGA-PBEsol, Alexandria).

Calculated values
- volume (Å³ per atom) = 12.92
- E_tot (eV/atom) = -6.54
- ρ (kg/m3) = 4366

Lattice parameters (Å, degrees): 6.9885 9.6948 9.8224 116.78 90.00 90.00
Site moments in Bohr magnetons follow the coordinates.
Fractional coordinates of all 46 atoms:
Se: 0.4182 0.9429 0.3146  0.01
Se: 0.9182 0.0571 0.1854  0.01
Se: 0.0012 0.3097 0.7450  0.01
Se: 0.5012 0.6903 0.7550  0.01
Se: 0.4988 0.3097 0.2450  0.01
Se: 0.9988 0.6903 0.2550  0.01
Se: 0.5818 0.0571 0.6854  0.01
Se: 0.0818 0.9429 0.8146  0.01
O: 0.1534 0.7250 0.4043  0.00
O: 0.0057 0.9471 0.6458  0.00
O: 0.6534 0.2750 0.0957  0.00
O: 0.5057 0.0529 0.8542  0.00
O: 0.9943 0.0529 0.3542  0.00
O: 0.9097 0.0737 0.9230  0.01
O: 0.4797 0.2327 0.7170  -0.01
O: 0.0203 0.2327 0.2170  -0.01
O: 0.8466 0.2750 0.5957  0.00
O: 0.8093 0.6941 0.9999  -0.08
O: 0.0903 0.9263 0.0770  0.01
O: 0.5203 0.7673 0.2830  -0.01
O: 0.1541 0.6575 0.1055  0.00
O: 0.5719 0.5049 0.7170  0.01
O: 0.9281 0.5049 0.2170  0.01
O: 0.0719 0.4951 0.7830  0.01
O: 0.9797 0.7673 0.7830  -0.01
O: 0.1907 0.3059 0.0001  -0.08
O: 0.4943 0.9471 0.1458  0.00
O: 0.3459 0.6575 0.6055  0.00
O: 0.4097 0.9263 0.5770  0.01
O: 0.5903 0.0737 0.4230  0.01
O: 0.3093 0.3059 0.5001  -0.08
O: 0.3466 0.7250 0.9043  0.00
O: 0.4281 0.4951 0.2830  0.01
O: 0.8459 0.3425 0.8945  0.00
O: 0.6541 0.3425 0.3945  0.00
O: 0.6907 0.6941 0.4999  -0.08
V: 0.4736 0.7048 0.4460  0.96
V: 0.9736 0.2952 0.0540  0.96
V: 0.0264 0.7048 0.9460  0.96
V: 0.5264 0.2952 0.5540  0.96
H: 0.5801 0.1330 0.9472  0.00
H: 0.0801 0.8670 0.5528  0.00
H: 0.9199 0.1330 0.4472  0.00
H: 0.4199 0.8670 0.0528  0.00
Ba: 0.5000 0.5000 0.0000  0.00
Ba: 0.0000 0.5000 0.5000  0.00



4.
# BaSiH2O4

A relaxed structure of BaSiH2O4 (GGA-PBEsol, Alexandria).

Calculated values
- volume (Å³ per atom) = 12.14
- E_tot (eV/atom) = -6.69
- ρ (kg/m3) = 3957

Lattice parameters (Å, degrees): 7.0307 7.4619 7.5731 90.01 89.99 77.92
Fractional coordinates of all 32 atoms:
O: 0.5456 0.1537 0.9353
O: 0.8012 0.5876 0.8279
O: 0.2461 0.4074 0.8451
O: 0.4544 0.8463 0.0647
O: 0.1988 0.4124 0.1721
O: 0.6988 0.9123 0.3279
O: 0.2541 0.0928 0.3450
O: 0.3012 0.0877 0.6721
O: 0.4542 0.6696 0.3728
O: 0.0456 0.6537 0.5646
O: 0.9543 0.1696 0.1273
O: 0.5458 0.3304 0.6272
O: 0.9544 0.3463 0.4354
O: 0.7459 0.9072 0.6550
O: 0.0457 0.8304 0.8727
O: 0.7539 0.5926 0.1549
H: 0.2782 0.0916 0.4853
H: 0.7218 0.9084 0.5147
H: 0.8986 0.4777 0.4226
H: 0.1014 0.5223 0.5774
H: 0.7780 0.5914 0.0146
H: 0.6014 0.0222 0.9223
H: 0.2220 0.4086 0.9854
H: 0.3986 0.9778 0.0777
Si: 0.5893 0.7607 0.2447
Si: 0.4107 0.2393 0.7553
Si: 0.0894 0.2608 0.2553
Si: 0.9106 0.7392 0.7447
Ba: 0.5828 0.2914 0.2853
Ba: 0.9173 0.2086 0.7853
Ba: 0.4172 0.7086 0.7147
Ba: 0.0827 0.7914 0.2147



5.
# BaSnH6O6

A relaxed structure of BaSnH6O6 (GGA-PBEsol, Alexandria).

Calculated values
- volume (Å³ per atom) = 10.09
- E_tot (eV/atom) = -5.62
- ρ (kg/m3) = 4209

Lattice parameters (Å, degrees): 6.3498 9.3043 10.3816 112.88 90.00 90.00
Fractional coordinates of all 56 atoms:
O: 0.7847 0.0896 0.4593
O: 0.7153 0.5896 0.9593
O: 0.2876 0.6120 0.5176
O: 0.9779 0.3089 0.8030
O: 0.5928 0.1478 0.1980
O: 0.4779 0.1911 0.6970
O: 0.6550 0.1421 0.9181
O: 0.0221 0.6911 0.1970
O: 0.1550 0.3579 0.5819
O: 0.7124 0.3880 0.4824
O: 0.4072 0.8522 0.8020
O: 0.7876 0.8880 0.9824
O: 0.5221 0.8089 0.3030
O: 0.2847 0.4104 0.0407
O: 0.6599 0.8876 0.6031
O: 0.2153 0.9104 0.5407
O: 0.8401 0.3876 0.1031
O: 0.2124 0.1120 0.0176
O: 0.0928 0.3522 0.3020
O: 0.1599 0.6124 0.8969
O: 0.9072 0.6478 0.6980
O: 0.3401 0.1124 0.3969
O: 0.3450 0.8579 0.0819
O: 0.8450 0.6421 0.4181
H: 0.9978 0.6314 0.7709
H: 0.8807 0.1114 0.5384
H: 0.6193 0.6114 0.0384
H: 0.8270 0.2849 0.7880
H: 0.7329 0.2765 0.4704
H: 0.3270 0.2151 0.7120
H: 0.9259 0.6548 0.3398
H: 0.3807 0.3886 0.9616
H: 0.2329 0.2235 0.0296
H: 0.2738 0.2097 0.4703
H: 0.1730 0.7151 0.2120
H: 0.5022 0.1314 0.2709
H: 0.2671 0.7235 0.5296
H: 0.7262 0.7903 0.5297
H: 0.7671 0.7765 0.9704
H: 0.4259 0.8452 0.1602
H: 0.1193 0.8886 0.4616
H: 0.4978 0.8686 0.7291
H: 0.5741 0.1548 0.8398
H: 0.0022 0.3686 0.2291
H: 0.0741 0.3452 0.6602
H: 0.6730 0.7849 0.2880
H: 0.7738 0.2903 0.0297
H: 0.2262 0.7097 0.9703
Sn: 0.0000 0.5000 0.5000
Sn: 0.5000 0.0000 0.5000
Sn: 0.0000 0.5000 0.0000
Sn: 0.5000 0.0000 0.0000
Ba: 0.4976 0.5439 0.7179
Ba: 0.0024 0.0439 0.2179
Ba: 0.5024 0.4561 0.2821
Ba: 0.9976 0.9561 0.7821



6.
# BaTaH2O

A relaxed structure of BaTaH2O (GGA-PBEsol, Alexandria).

Calculated values
- volume (Å³ per atom) = 18.77
- E_tot (eV/atom) = -5.23
- ρ (kg/m3) = 5949

Lattice parameters (Å, degrees): 3.7655 4.9927 4.9927 90.00 90.00 90.00
Site moments in Bohr magnetons follow the coordinates.
Fractional coordinates of all 5 atoms:
O: 0.0000 0.0000 0.0000  -0.04
H: 0.0000 0.0000 0.5000  0.00
H: 0.0000 0.5000 0.0000  0.00
Ba: 0.5000 0.5000 0.5000  0.08
Ta: 0.5000 0.0000 0.0000  0.84



7.
# BaH3Os

A relaxed structure of BaH3Os (GGA-PBEsol, Alexandria).

Calculated values
- volume (Å³ per atom) = 11.61
- E_tot (eV/atom) = -4.90
- ρ (kg/m3) = 9456

Lattice parameters (Å, degrees): 3.8721 3.8721 3.8721 90.00 90.00 90.00
Site moments in Bohr magnetons follow the coordinates.
Fractional coordinates of all 5 atoms:
H: 0.5000 0.0000 0.0000  0.00
H: 0.0000 0.5000 0.0000  0.00
H: 0.0000 0.0000 0.5000  0.00
Ba: 0.5000 0.5000 0.5000  0.00
Os: 0.0000 0.0000 0.0000  0.38



8.
# BaPH

A relaxed structure of BaPH (GGA-PBEsol, Alexandria).

Calculated values
- volume (Å³ per atom) = 23.71
- E_tot (eV/atom) = -4.47
- ρ (kg/m3) = 3953

Lattice parameters (Å, degrees): 4.4707 4.4707 4.4707 65.79 65.79 65.79
Fractional coordinates of all 3 atoms:
Ba: 0.4860 0.4860 0.4860
H: 0.8424 0.8424 0.8424
P: 0.9823 0.9823 0.9823